Computed, not measured: crystalline NaPtO2F at its relaxed geometry at the GGA-PBE level of DFT.

```
data_NaPtO2F
_space_group_name_H-M_alt 'P 4/m m m'
_space_group_IT_number 123
_space_group_name_Hall '-P 4 2'
_cell_length_a 3.842
_cell_length_b 3.842
_cell_length_c 4.846
_cell_angle_alpha 90.00
_cell_angle_beta 90.00
_cell_angle_gamma 90.00
loop_
_atom_site_label
_atom_site_type_symbol
_atom_site_fract_x
_atom_site_fract_y
_atom_site_fract_z
Na1 Na 0.000 0.000 0.000
Pt1 Pt 0.500 0.500 0.500
O1 O 0.000 0.500 0.500
F1 F 0.500 0.500 0.000
```

Results
* total DFT energy (no corrections): -0.174 Ha/atom
* formation energy (no corrections): -0.92 eV per atom
* volume: 72 Å³/cell

---

Computed, not measured: crystalline NaPtO2F at its relaxed geometry at the GGA-PBE level of DFT.

```
data_NaPtO2F
_space_group_name_H-M_alt 'P 4/m m m'
_space_group_IT_number 123
_space_group_name_Hall '-P 4 2'
_cell_length_a 4.090
_cell_length_b 4.090
_cell_length_c 3.812
_cell_angle_alpha 90.00
_cell_angle_beta 90.00
_cell_angle_gamma 90.00
loop_
_atom_site_label
_atom_site_type_symbol
_atom_site_fract_x
_atom_site_fract_y
_atom_site_fract_z
Na1 Na 0.000 0.000 0.000
Pt1 Pt 0.500 0.500 0.500
O1 O 0.000 0.500 0.000
F1 F 0.000 0.000 0.500
```

Results
* total DFT energy (no corrections): -0.120 Ha/atom
* formation energy (no corrections): 0.58 eV per atom
* volume: 64 Å³/cell

---

Computed, not measured: crystalline Na2PuO3F3 at its relaxed geometry at the GGA-PBE level of DFT.

```
data_Na2PuO3F3
_space_group_name_H-M_alt 'P -6 2 m'
_space_group_IT_number 189
_space_group_name_Hall 'P -6 -2'
_cell_length_a 5.9309
_cell_length_b 5.9309
_cell_length_c 4.0467
_cell_angle_alpha 90.00
_cell_angle_beta 90.00
_cell_angle_gamma 120.00
loop_
_atom_site_label
_atom_site_type_symbol
_atom_site_fract_x
_atom_site_fract_y
_atom_site_fract_z
Na1 Na 0.3333 0.6667 0.0000
Pu1 Pu 0.0000 0.0000 0.5000
O1 O 0.0000 0.3168 0.5000
F1 F 0.0000 0.7393 0.0000
```

Results
* total DFT energy (no corrections): -0.237 Ha/atom
* formation energy (no corrections): -2.30 eV per atom
* volume: 123 Å³/cell

---

Computed, not measured: crystalline Na2Pu2O5F2 at its relaxed geometry at the GGA-PBE level of DFT.

```
data_Na2Pu2O5F2
_space_group_name_H-M_alt 'I 4/m m m'
_space_group_IT_number 139
_space_group_name_Hall '-I 4 2'
_cell_length_a 4.199
_cell_length_b 4.199
_cell_length_c 20.702
_cell_angle_alpha 90.00
_cell_angle_beta 90.00
_cell_angle_gamma 90.00
loop_
_atom_site_label
_atom_site_type_symbol
_atom_site_fract_x
_atom_site_fract_y
_atom_site_fract_z
Na1 Na 0.000 0.000 0.184
Pu1 Pu 0.000 0.000 0.400
O1 O 0.000 0.000 0.500
O2 O 0.000 0.500 0.111
F1 F 0.000 0.000 0.291
```

Results
* total DFT energy (no corrections): -0.299 Ha/atom
* formation energy (no corrections): -2.69 eV per atom
* volume: 365 Å³/cell

---

Computed, not measured: crystalline RbNaOF2 at its relaxed geometry at the GGA-PBE level of DFT.

```
data_RbNaOF2
_space_group_name_H-M_alt 'P 4/m m m'
_space_group_IT_number 123
_space_group_name_Hall '-P 4 2'
_cell_length_a 4.550
_cell_length_b 4.550
_cell_length_c 4.451
_cell_angle_alpha 90.00
_cell_angle_beta 90.00
_cell_angle_gamma 90.00
loop_
_atom_site_label
_atom_site_type_symbol
_atom_site_fract_x
_atom_site_fract_y
_atom_site_fract_z
Rb1 Rb 0.000 0.000 0.000
Na1 Na 0.500 0.500 0.500
O1 O 0.500 0.500 0.000
F1 F 0.000 0.500 0.500
```

Results
* total DFT energy (no corrections): -0.136 Ha/atom
* formation energy (no corrections): -1.49 eV per atom
* volume: 92 Å³/cell
* energy above the most stable polymorph in this dataset: 0.00 kcal/mol of atoms

---

Computed, not measured: crystalline RbNaOF2 at its relaxed geometry at the GGA-PBE level of DFT.

```
data_RbNaOF2
_space_group_name_H-M_alt 'P 4/m m m'
_space_group_IT_number 123
_space_group_name_Hall '-P 4 2'
_cell_length_a 5.055
_cell_length_b 5.055
_cell_length_c 4.529
_cell_angle_alpha 90.00
_cell_angle_beta 90.00
_cell_angle_gamma 90.00
loop_
_atom_site_label
_atom_site_type_symbol
_atom_site_fract_x
_atom_site_fract_y
_atom_site_fract_z
Rb1 Rb 0.000 0.000 0.000
Na1 Na 0.500 0.500 0.500
O1 O 0.000 0.000 0.500
F1 F 0.000 0.500 0.000
```

Results
* total DFT energy (no corrections): -0.117 Ha/atom
* formation energy (no corrections): -0.98 eV per atom
* volume: 116 Å³/cell
* energy above the most stable polymorph in this dataset: 11.80 kcal/mol of atoms

---

Computed, not measured: crystalline Rb2NaOF6 at its relaxed geometry at the GGA-PBE level of DFT.

```
data_Rb2NaOF6
_space_group_name_H-M_alt 'I 4/m m m'
_space_group_IT_number 139
_space_group_name_Hall '-I 4 2'
_cell_length_a 5.790
_cell_length_b 5.790
_cell_length_c 9.489
_cell_angle_alpha 90.00
_cell_angle_beta 90.00
_cell_angle_gamma 90.00
loop_
_atom_site_label
_atom_site_type_symbol
_atom_site_fract_x
_atom_site_fract_y
_atom_site_fract_z
Rb1 Rb 0.000 0.500 0.250
Na1 Na 0.000 0.000 0.000
O1 O 0.000 0.000 0.500
F1 F 0.000 0.000 0.232
F2 F 0.214 0.214 0.500
```

Results
* total DFT energy (no corrections): -0.129 Ha/atom
* formation energy (no corrections): -1.57 eV per atom
* volume: 318 Å³/cell

---

Computed, not measured: crystalline Rb2NaOF at its relaxed geometry at the GGA-PBE level of DFT.

```
data_Rb2NaOF
_space_group_name_H-M_alt 'P 4/m m m'
_space_group_IT_number 123
_space_group_name_Hall '-P 4 2'
_cell_length_a 5.235
_cell_length_b 5.235
_cell_length_c 4.396
_cell_angle_alpha 90.00
_cell_angle_beta 90.00
_cell_angle_gamma 90.00
loop_
_atom_site_label
_atom_site_type_symbol
_atom_site_fract_x
_atom_site_fract_y
_atom_site_fract_z
Rb1 Rb 0.000 0.500 0.000
Na1 Na 0.000 0.000 0.500
O1 O 0.500 0.500 0.500
F1 F 0.000 0.000 0.000
```

Results
* total DFT energy (no corrections): -0.122 Ha/atom
* formation energy (no corrections): -1.31 eV per atom
* volume: 120 Å³/cell

---

Computed, not measured: crystalline NaReOF2 at its relaxed geometry at the GGA-PBE level of DFT.

```
data_NaReOF2
_space_group_name_H-M_alt 'P 4/m m m'
_space_group_IT_number 123
_space_group_name_Hall '-P 4 2'
_cell_length_a 4.285
_cell_length_b 4.285
_cell_length_c 3.818
_cell_angle_alpha 90.00
_cell_angle_beta 90.00
_cell_angle_gamma 90.00
loop_
_atom_site_label
_atom_site_type_symbol
_atom_site_fract_x
_atom_site_fract_y
_atom_site_fract_z
Na1 Na 0.000 0.000 0.000
Re1 Re 0.500 0.500 0.500
O1 O 0.500 0.500 0.000
F1 F 0.000 0.500 0.500
```

Results
* total DFT energy (no corrections): -0.218 Ha/atom
* formation energy (no corrections): -1.44 eV per atom
* volume: 70 Å³/cell
* energy above the most stable polymorph in this dataset: 0.00 kcal/mol of atoms

---

Computed, not measured: crystalline NaReO2F at its relaxed geometry at the GGA-PBE level of DFT.

```
data_NaReO2F
_space_group_name_H-M_alt 'P 4/m m m'
_space_group_IT_number 123
_space_group_name_Hall '-P 4 2'
_cell_length_a 4.031
_cell_length_b 4.031
_cell_length_c 3.741
_cell_angle_alpha 90.00
_cell_angle_beta 90.00
_cell_angle_gamma 90.00
loop_
_atom_site_label
_atom_site_type_symbol
_atom_site_fract_x
_atom_site_fract_y
_atom_site_fract_z
Na1 Na 0.000 0.000 0.000
Re1 Re 0.500 0.500 0.500
O1 O 0.000 0.500 0.000
F1 F 0.000 0.000 0.500
```

Results
* total DFT energy (no corrections): -0.172 Ha/atom
* formation energy (no corrections): 0.44 eV per atom
* volume: 61 Å³/cell